4
Lattice="1.396 0.806 9.219 -1.396 0.806 9.219 0.000 -1.612 9.219" Properties=species:S:1:pos:R:3 comment="CoTcAu2 | Alexandria | GGA-PBE | relaxed" spacegroup="R3m, No. 160" final_energy_ev_per_fu=-23.059 delta_e_f_ev_per_atom=0.24 pbc="T T T"
Co 0.000 0.000 0.000
Tc 0.000 0.000 20.355
Au 0.000 0.000 6.966
Au 0.000 0.000 13.572

=====

4
Lattice="3.676 0.000 0.000 0.000 3.676 0.000 0.000 0.000 4.553" Properties=species:S:1:pos:R:3 comment="LiCdOs2 | Alexandria | GGA-PBE | relaxed" spacegroup="P4/mmm, No. 123" final_energy_ev_per_fu=-23.299 delta_e_f_ev_per_atom=0.50 pbc="T T T"
Li 0.000 0.000 0.000
Cd 1.838 1.838 0.000
Os 0.000 1.838 2.276
Os 1.838 0.000 2.276

=====

20
Lattice="-4.999 4.999 4.999 4.999 -4.999 4.999 4.999 4.999 -4.999" Properties=species:S:1:pos:R:3 comment="Np3Sb4Au3 | Alexandria | GGA-PBE | relaxed" spacegroup="I-43d, No. 220" e_form_raw_ev_per_atom=-0.2481 final_energy_ev_per_fu=-67.625 pbc="T T T"
Np 4.999 -2.499 3.749
Np 3.749 4.999 -2.499
Np 4.999 2.499 1.250
Np 2.499 1.250 4.999
Np 1.250 4.999 2.499
Np -2.499 3.749 4.999
Sb 3.408 1.591 -1.591
Sb 5.908 -0.909 0.909
Sb 1.591 -1.591 3.408
Sb 1.591 1.591 1.591
Sb -1.591 3.408 1.591
Sb 0.909 5.908 -0.909
Sb -0.909 0.909 5.908
Sb 4.090 4.090 4.090
Au 7.498 1.250 0.000
Au 3.749 0.000 2.499
Au 2.499 3.749 0.000
Au 0.000 2.499 3.749
Au 1.250 0.000 7.498
Au 0.000 7.498 1.250

=====

5
Lattice="-1.555 1.555 5.262 1.555 -1.555 5.262 1.555 1.555 -5.262" Properties=species:S:1:pos:R:3 comment="MgH2Rh2 | Alexandria | GGA-PBE | relaxed" spacegroup="I4/mmm, No. 139" final_energy_ev_per_fu=-24.083 pbc="T T T"
Mg 0.000 0.000 0.000
H 1.555 0.000 2.631
H 0.000 1.555 2.631
Rh 0.000 0.000 3.669
Rh 0.000 0.000 6.855

=====

7
Lattice="5.121 -2.320 0.000 5.121 2.320 0.000 -2.810 0.000 6.938" Properties=species:S:1:pos:R:3 comment="Y2Mg3Ag2 | Alexandria | GGA-PBE | relaxed" spacegroup="C2/m, No. 12" final_energy_ev_per_fu=-25.112 delta_e_f_ev_per_atom=-0.24 pbc="T T T"
Y 0.618 0.000 1.948
Y 6.814 0.000 4.989
Mg 3.640 0.000 0.432
Mg 3.716 0.000 3.469
Mg 3.792 0.000 6.505
Ag -0.395 0.000 4.873
Ag 7.827 0.000 2.065

=====

6
Lattice="3.957 0.000 0.000 0.000 3.957 0.000 0.000 0.000 5.690" Properties=species:S:1:pos:R:3 comment="AcSmH4 | Alexandria | GGA-PBE | relaxed" spacegroup="P4/mmm, No. 123" final_energy_ev_per_fu=-25.920 pbc="T T T"
Ac 0.000 0.000 0.000
Sm 1.979 1.979 2.845
H 0.000 1.979 1.574
H 0.000 1.979 4.116
H 1.979 0.000 1.574
H 1.979 0.000 4.116